# 1
# MgVCoRu (PBE, relaxed)
data_MgVCoRu
_chemical_formula_sum 'Mg4 V4 Co4 Ru4'
_cell_length_a 5.964
_cell_length_b 5.964
_cell_length_c 5.964
_cell_angle_alpha 90.00
_cell_angle_beta 90.00
_cell_angle_gamma 90.00
_space_group_name_H-M_alt 'F -4 3 m'
_space_group_IT_number 216
_space_group_name_Hall 'F -4 2 3'
loop_
_atom_site_label
_atom_site_fract_x
_atom_site_fract_y
_atom_site_fract_z
Mg1 0.000 0.000 0.000
V1 0.000 0.000 0.500
Co1 0.250 0.250 0.250
Ru1 0.250 0.250 0.750
# spin magnetization = 0.0 μB per formula unit
# raw total energy = -27.64 eV per formula unit
# formation energy = -0.137 eV per atom

=====

# 2
# MgV2CoRu (PBE, relaxed)
data_MgV2CoRu
_chemical_formula_sum 'Mg1 V2 Co1 Ru1'
_cell_length_a 4.276
_cell_length_b 4.276
_cell_length_c 4.578
_cell_angle_alpha 90.00
_cell_angle_beta 90.00
_cell_angle_gamma 90.00
_space_group_name_H-M_alt 'P 4/m m m'
_space_group_IT_number 123
_space_group_name_Hall '-P 4 2'
loop_
_atom_site_label
_atom_site_fract_x
_atom_site_fract_y
_atom_site_fract_z
Mg1 0.000 0.000 0.000
V1 0.000 0.500 0.500
Co1 0.500 0.500 0.500
Ru1 0.500 0.500 0.000
# spin magnetization = 0.1 μB per formula unit
# raw total energy = -32.44 eV per formula unit
# formation energy = 0.755 eV per atom

=====

# 3
# MgCoRuW (PBE, relaxed)
data_MgCoRuW
_chemical_formula_sum 'Mg4 Co4 Ru4 W4'
_cell_length_a 6.097
_cell_length_b 6.097
_cell_length_c 6.097
_cell_angle_alpha 90.00
_cell_angle_beta 90.00
_cell_angle_gamma 90.00
_space_group_name_H-M_alt 'F -4 3 m'
_space_group_IT_number 216
_space_group_name_Hall 'F -4 2 3'
loop_
_atom_site_label
_atom_site_fract_x
_atom_site_fract_y
_atom_site_fract_z
Mg1 0.000 0.000 0.000
Co1 0.250 0.250 0.750
Ru1 0.250 0.250 0.250
W1 0.000 0.000 0.500
# spin magnetization = 1.0 μB per formula unit
# raw total energy = -30.89 eV per formula unit
# formation energy = 0.010 eV per atom